TeAu2S | PBE-GGA | relaxed

Unit cell a=4.881 b=4.881 c=4.881 alpha=60.00 beta=60.00 gamma=60.00
Atoms (fractional coordinates):
Te: 0.000 0.000 0.000
Au: 0.250 0.250 0.250
Au: 0.750 0.750 0.750
S: 0.500 0.500 0.500

ΔE_f (raw) = 13.2 kcal/mol of atoms
Polymorph energy (0 for the lowest one) = 472 meV/atom
Density = 11.18 Mg/m³